1.
Computed, not measured: a relaxed Mn2OsAu crystal at the PBE-GGA level of DFT.

Structure (CIF):
```
data_Mn2OsAu
_chemical_formula_sum 'Mn2 Os1 Au1'
_symmetry_space_group_name_H-M 'P 1'
_symmetry_Int_Tables_number 1
_symmetry_space_group_name_Hall 'P 1'
_cell_length_a 4.731
_cell_length_b 4.731
_cell_length_c 4.671
_cell_angle_alpha 99.88
_cell_angle_beta 99.88
_cell_angle_gamma 34.63
loop_
_atom_site_label
_atom_site_type_symbol
_atom_site_fract_x
_atom_site_fract_y
_atom_site_fract_z
Mn1 Mn 0.000 0.000 0.000
Mn2 Mn 0.244 0.244 0.709
Os1 Os 0.507 0.507 0.534
Au1 Au 0.752 0.752 0.219
```

Calculated values
- DFT formation energy: 6.3 kcal/mol of atoms
- SG: Cm, No. 8


2.
Computed, not measured: a relaxed Mn2OsAu crystal at the PBE-GGA level of DFT.

Structure (CIF):
```
data_Mn2OsAu
_chemical_formula_sum 'Mn2 Os1 Au1'
_symmetry_space_group_name_H-M 'P 1'
_symmetry_Int_Tables_number 1
_symmetry_space_group_name_Hall 'P 1'
_cell_length_a 2.828
_cell_length_b 2.828
_cell_length_c 7.264
_cell_angle_alpha 90.00
_cell_angle_beta 90.00
_cell_angle_gamma 90.00
loop_
_atom_site_label
_atom_site_type_symbol
_atom_site_fract_x
_atom_site_fract_y
_atom_site_fract_z
Mn1 Mn 0.000 0.000 0.000
Mn2 Mn 0.500 0.500 0.234
Os1 Os 0.000 0.000 0.430
Au1 Au 0.500 0.500 0.731
```

Calculated values
- DFT formation energy: 5.3 kcal/mol of atoms
- SG: P4mm, No. 99


3.
Computed, not measured: a relaxed Mn2OsAu crystal at the PBE-GGA level of DFT.

Structure (CIF):
```
data_Mn2OsAu
_chemical_formula_sum 'Mn2 Os1 Au1'
_symmetry_space_group_name_H-M 'P 1'
_symmetry_Int_Tables_number 1
_symmetry_space_group_name_Hall 'P 1'
_cell_length_a 4.472
_cell_length_b 4.472
_cell_length_c 2.994
_cell_angle_alpha 90.00
_cell_angle_beta 90.00
_cell_angle_gamma 90.00
loop_
_atom_site_label
_atom_site_type_symbol
_atom_site_fract_x
_atom_site_fract_y
_atom_site_fract_z
Mn1 Mn 0.000 0.500 0.000
Mn2 Mn 0.500 0.000 0.000
Os1 Os 0.000 0.000 0.500
Au1 Au 0.500 0.500 0.500
```

Calculated values
- DFT formation energy: 5.6 kcal/mol of atoms
- SG: P4/mmm, No. 123


4.
Computed, not measured: a relaxed Mn2OsAu crystal at the PBE-GGA level of DFT.

Structure (CIF):
```
data_Mn2OsAu
_chemical_formula_sum 'Mn2 Os1 Au1'
_symmetry_space_group_name_H-M 'P 1'
_symmetry_Int_Tables_number 1
_symmetry_space_group_name_Hall 'P 1'
_cell_length_a 5.199
_cell_length_b 5.199
_cell_length_c 5.199
_cell_angle_alpha 146.36
_cell_angle_beta 130.38
_cell_angle_gamma 61.29
loop_
_atom_site_label
_atom_site_type_symbol
_atom_site_fract_x
_atom_site_fract_y
_atom_site_fract_z
Mn1 Mn 0.000 0.000 0.000
Mn2 Mn 0.756 0.256 0.500
Os1 Os 0.226 0.726 0.500
Au1 Au 0.498 0.498 0.000
```

Calculated values
- DFT formation energy: 7.6 kcal/mol of atoms
- SG: Imm2, No. 44


5.
Computed, not measured: a relaxed MnOsAu crystal at the PBE-GGA level of DFT.

Structure (CIF):
```
data_MnOsAu
_chemical_formula_sum 'Mn1 Os1 Au1'
_symmetry_space_group_name_H-M 'P 1'
_symmetry_Int_Tables_number 1
_symmetry_space_group_name_Hall 'P 1'
_cell_length_a 4.121
_cell_length_b 4.121
_cell_length_c 4.121
_cell_angle_alpha 60.00
_cell_angle_beta 60.00
_cell_angle_gamma 60.00
loop_
_atom_site_label
_atom_site_type_symbol
_atom_site_fract_x
_atom_site_fract_y
_atom_site_fract_z
Mn1 Mn 0.000 0.000 0.000
Os1 Os 0.750 0.750 0.750
Au1 Au 0.250 0.250 0.250
```

Calculated values
- Excess energy over the best structure of this formula in the dataset: 0.336 eV per atom
- DFT formation energy: 14.1 kcal/mol of atoms
- SG: F-43m, No. 216


6.
Computed, not measured: a relaxed Mn2OsAu crystal at the PBE-GGA level of DFT.

Structure (CIF):
```
data_Mn2OsAu
_chemical_formula_sum 'Mn2 Os1 Au1'
_symmetry_space_group_name_H-M 'P 1'
_symmetry_Int_Tables_number 1
_symmetry_space_group_name_Hall 'P 1'
_cell_length_a 4.603
_cell_length_b 4.603
_cell_length_c 4.603
_cell_angle_alpha 129.04
_cell_angle_beta 129.04
_cell_angle_gamma 74.95
loop_
_atom_site_label
_atom_site_type_symbol
_atom_site_fract_x
_atom_site_fract_y
_atom_site_fract_z
Mn1 Mn 0.250 0.750 0.500
Mn2 Mn 0.750 0.250 0.500
Os1 Os 0.000 0.000 0.000
Au1 Au 0.500 0.500 0.000
```

Calculated values
- DFT formation energy: 6.0 kcal/mol of atoms
- SG: I4/mmm, No. 139


7.
Computed, not measured: a relaxed Mn2OsAu crystal at the PBE-GGA level of DFT.

Structure (CIF):
```
data_Mn2OsAu
_chemical_formula_sum 'Mn2 Os1 Au1'
_symmetry_space_group_name_H-M 'P 1'
_symmetry_Int_Tables_number 1
_symmetry_space_group_name_Hall 'P 1'
_cell_length_a 4.608
_cell_length_b 4.608
_cell_length_c 2.857
_cell_angle_alpha 90.00
_cell_angle_beta 90.00
_cell_angle_gamma 102.58
loop_
_atom_site_label
_atom_site_type_symbol
_atom_site_fract_x
_atom_site_fract_y
_atom_site_fract_z
Mn1 Mn 0.000 0.500 0.000
Mn2 Mn 0.500 0.000 0.000
Os1 Os 0.000 0.000 0.500
Au1 Au 0.500 0.500 0.500
```

Calculated values
- DFT formation energy: 5.4 kcal/mol of atoms
- SG: Cmmm, No. 65


8.
Computed, not measured: a relaxed Mn2OsAu crystal at the PBE-GGA level of DFT.

Structure (CIF):
```
data_Mn2OsAu
_chemical_formula_sum 'Mn2 Os1 Au1'
_symmetry_space_group_name_H-M 'P 1'
_symmetry_Int_Tables_number 1
_symmetry_space_group_name_Hall 'P 1'
_cell_length_a 2.871
_cell_length_b 3.556
_cell_length_c 5.757
_cell_angle_alpha 90.00
_cell_angle_beta 90.00
_cell_angle_gamma 90.00
loop_
_atom_site_label
_atom_site_type_symbol
_atom_site_fract_x
_atom_site_fract_y
_atom_site_fract_z
Mn1 Mn 0.000 0.000 0.230
Mn2 Mn 0.000 0.000 0.770
Os1 Os 0.500 0.500 0.000
Au1 Au 0.500 0.500 0.500
```

Calculated values
- DFT formation energy: 4.1 kcal/mol of atoms
- SG: Pmmm, No. 47


9.
Computed, not measured: a relaxed Mn2OsAu crystal at the PBE-GGA level of DFT.

Structure (CIF):
```
data_Mn2OsAu
_chemical_formula_sum 'Mn2 Os1 Au1'
_symmetry_space_group_name_H-M 'P 1'
_symmetry_Int_Tables_number 1
_symmetry_space_group_name_Hall 'P 1'
_cell_length_a 4.772
_cell_length_b 4.772
_cell_length_c 4.772
_cell_angle_alpha 132.92
_cell_angle_beta 132.92
_cell_angle_gamma 68.77
loop_
_atom_site_label
_atom_site_type_symbol
_atom_site_fract_x
_atom_site_fract_y
_atom_site_fract_z
Mn1 Mn 0.000 0.000 0.000
Mn2 Mn 0.750 0.250 0.500
Os1 Os 0.250 0.750 0.500
Au1 Au 0.500 0.500 0.000
```

Calculated values
- DFT formation energy: 7.3 kcal/mol of atoms
- SG: I-4m2, No. 119


10.
Computed, not measured: a relaxed Mn2OsAu crystal at the PBE-GGA level of DFT.

Structure (CIF):
```
data_Mn2OsAu
_chemical_formula_sum 'Mn2 Os1 Au1'
_symmetry_space_group_name_H-M 'P 1'
_symmetry_Int_Tables_number 1
_symmetry_space_group_name_Hall 'P 1'
_cell_length_a 4.363
_cell_length_b 4.363
_cell_length_c 4.363
_cell_angle_alpha 60.00
_cell_angle_beta 60.00
_cell_angle_gamma 60.00
loop_
_atom_site_label
_atom_site_type_symbol
_atom_site_fract_x
_atom_site_fract_y
_atom_site_fract_z
Mn1 Mn 0.000 0.000 0.000
Mn2 Mn 0.250 0.250 0.250
Os1 Os 0.750 0.750 0.750
Au1 Au 0.500 0.500 0.500
```

Calculated values
- DFT formation energy: 10.9 kcal/mol of atoms
- SG: F-43m, No. 216


11.
Computed, not measured: a relaxed Mn2OsAu crystal at the PBE-GGA level of DFT.

Structure (CIF):
```
data_Mn2OsAu
_chemical_formula_sum 'Mn2 Os1 Au1'
_symmetry_space_group_name_H-M 'P 1'
_symmetry_Int_Tables_number 1
_symmetry_space_group_name_Hall 'P 1'
_cell_length_a 2.818
_cell_length_b 2.818
_cell_length_c 7.433
_cell_angle_alpha 90.00
_cell_angle_beta 90.00
_cell_angle_gamma 90.00
loop_
_atom_site_label
_atom_site_type_symbol
_atom_site_fract_x
_atom_site_fract_y
_atom_site_fract_z
Mn1 Mn 0.000 0.000 0.228
Mn2 Mn 0.000 0.000 0.772
Os1 Os 0.500 0.500 0.000
Au1 Au 0.500 0.500 0.500
```

Calculated values
- DFT formation energy: 2.6 kcal/mol of atoms
- SG: P4/mmm, No. 123


12.
Computed, not measured: a relaxed MnOsAu crystal at the PBE-GGA level of DFT.

Structure (CIF):
```
data_MnOsAu
_chemical_formula_sum 'Mn1 Os1 Au1'
_symmetry_space_group_name_H-M 'P 1'
_symmetry_Int_Tables_number 1
_symmetry_space_group_name_Hall 'P 1'
_cell_length_a 2.728
_cell_length_b 2.728
_cell_length_c 6.814
_cell_angle_alpha 90.00
_cell_angle_beta 90.00
_cell_angle_gamma 120.00
loop_
_atom_site_label
_atom_site_type_symbol
_atom_site_fract_x
_atom_site_fract_y
_atom_site_fract_z
Mn1 Mn 0.000 0.000 0.000
Os1 Os 0.333 0.667 0.278
Au1 Au 0.667 0.333 0.656
```

Calculated values
- Excess energy over the best structure of this formula in the dataset: 0.022 eV per atom
- DFT formation energy: 6.8 kcal/mol of atoms
- SG: P3m1, No. 156


no.,raw total energy (eV/atom)
1,-7.9383
2,-7.9826
3,-7.9670
4,-7.8837
5,-7.2829
6,-7.9493
7,-7.9759
8,-8.0323
9,-7.8971
10,-7.7374
11,-8.0981
12,-7.5969